Density functional theory data (GGA-PBE) for a relaxed structure of NpPaTeN2.

Cell lengths 3.9384, 3.9384, 6.8932 Å; angles 106.60, 106.60, 90.00 degrees
Sites, in units of the cell vectors:
N: 0.7535 0.2535 0.5070
N: 0.2535 0.7535 0.5070
Pa: 0.8365 0.8365 0.6731
Np: 0.1567 0.1567 0.3135
Te: 0.4997 0.4997 0.9995

- raw formation energy (kJ/mol of atoms) = -136
- total magnetic moment (μB/cell) = 4.002

Density functional theory data (GGA-PBE) for a relaxed structure of NpPaTe2N.

Cell lengths 4.0410, 4.0410, 14.8995 Å; angles 90.00, 90.00, 90.00 degrees
Sites, in units of the cell vectors:
Np: 0.0000 0.5000 0.9305
Np: 0.5000 0.0000 0.0695
Te: 0.0000 0.5000 0.1436
Te: 0.0000 0.5000 0.6897
Te: 0.5000 0.0000 0.8564
Te: 0.5000 0.0000 0.3103
N: 0.5000 0.5000 0.5000
N: 0.0000 0.0000 0.5000
Pa: 0.0000 0.5000 0.4237
Pa: 0.5000 0.0000 0.5763

- raw formation energy (kJ/mol of atoms) = -106
- total magnetic moment (μB/cell) = 9.585

Density functional theory data (GGA-PBE) for a relaxed structure of ThNp2PaN4.

Cell lengths 3.5099, 6.1023, 6.0982 Å; angles 70.55, 90.00, 90.00 degrees
Sites, in units of the cell vectors:
Np: 0.0000 0.0000 0.0000
Np: 0.5000 0.0000 0.5000
Th: 0.5000 0.5000 0.0000
Pa: 0.0000 0.5000 0.5000
N: 0.0000 0.7650 0.7317
N: 0.0000 0.2350 0.2683
N: 0.5000 0.2459 0.7389
N: 0.5000 0.7541 0.2611

- raw formation energy (kJ/mol of atoms) = -128
- total magnetic moment (μB/cell) = 6.733

Density functional theory data (GGA-PBE) for a relaxed structure of Th2NpPaN6.

Cell lengths 6.0861, 6.0861, 6.0368 Å; angles 59.73, 59.73, 60.00 degrees
Sites, in units of the cell vectors:
Np: 0.3125 0.3125 0.0625
Pa: 0.8104 0.8104 0.5689
N: 0.1093 0.4436 0.7743
N: 0.6029 0.1776 0.2703
N: 0.9492 0.6029 0.2703
N: 0.6729 0.1093 0.7743
N: 0.4436 0.6729 0.7743
N: 0.1776 0.9492 0.2703
Th: 0.0413 0.0413 0.8762
Th: 0.5421 0.5421 0.3738

- raw formation energy (kJ/mol of atoms) = -140
- total magnetic moment (μB/cell) = 2.000

Density functional theory data (GGA-PBE) for a relaxed structure of Np3Pa2TiN6.

Cell lengths 5.8946, 5.8946, 5.8871 Å; angles 99.63, 99.63, 120.00 degrees
Sites, in units of the cell vectors:
N: 0.7646 0.7646 0.2386
N: 0.6074 0.9217 0.7650
N: 0.2354 0.2354 0.7614
N: 0.3926 0.0783 0.2350
N: 0.9217 0.6074 0.7650
N: 0.0783 0.3926 0.2350
Ti: 0.0000 0.0000 0.0000
Np: 0.8338 0.1662 0.5000
Np: 0.1662 0.8338 0.5000
Np: 0.5000 0.5000 0.5000
Pa: 0.6665 0.3335 0.0000
Pa: 0.3335 0.6665 0.0000

- raw formation energy (kJ/mol of atoms) = -129
- total magnetic moment (μB/cell) = 9.834

Density functional theory data (GGA-PBE) for a relaxed structure of Tm2NpPaN6.

Cell lengths 5.8243, 5.8243, 5.9412 Å; angles 60.65, 60.65, 60.00 degrees
Sites, in units of the cell vectors:
N: 0.1877 0.9557 0.2610
N: 0.4298 0.6776 0.7731
N: 0.6775 0.1195 0.7731
N: 0.9557 0.5957 0.2610
N: 0.5957 0.1877 0.2610
N: 0.1195 0.4298 0.7731
Pa: 0.8108 0.8108 0.5676
Tm: 0.5365 0.5365 0.3905
Tm: 0.0317 0.0317 0.9048
Np: 0.3166 0.3166 0.0501

- raw formation energy (kJ/mol of atoms) = -133
- total magnetic moment (μB/cell) = 0.069